1.
Material: InB2Pt2
Method: DFT, PBE
State: optimized geometry

Summary:
Electronic total energy ... -0.4262 Ry per atom
Calculated formation energy ... -163 meV/atom

Cell and atoms, written as CIF:
```
data_InB2Pt2
_cell_length_a 3.176
_cell_length_b 3.176
_cell_length_c 13.919
_cell_angle_alpha 90.00
_cell_angle_beta 90.00
_cell_angle_gamma 90.00
_space_group_name_H-M_alt 'I 4/m m m'
_space_group_IT_number 139
_space_group_name_Hall '-I 4 2'
loop_
_atom_site_label
_atom_site_type_symbol
_atom_site_fract_x
_atom_site_fract_y
_atom_site_fract_z
In1 In 0.000 0.000 0.000
B1 B 0.000 0.500 0.250
Pt1 Pt 0.000 0.000 0.353
```



2.
Material: Be2MoRu3
Method: DFT, PBE
State: optimized geometry

Summary:
Electronic total energy ... -0.5755 Ry per atom
Calculated formation energy ... -145 meV/atom

Cell and atoms, written as CIF:
```
data_Be2MoRu3
_cell_length_a 2.862
_cell_length_b 2.862
_cell_length_c 8.987
_cell_angle_alpha 90.00
_cell_angle_beta 90.00
_cell_angle_gamma 90.00
_space_group_name_H-M_alt 'P 4/m m m'
_space_group_IT_number 123
_space_group_name_Hall '-P 4 2'
loop_
_atom_site_label
_atom_site_type_symbol
_atom_site_fract_x
_atom_site_fract_y
_atom_site_fract_z
Be1 Be 0.000 0.000 0.147
Mo1 Mo 0.000 0.000 0.500
Ru1 Ru 0.500 0.500 0.000
Ru2 Ru 0.500 0.500 0.304
```



3.
Material: Ac6AsIr2I3
Method: DFT, PBE
State: optimized geometry

Summary:
Electronic total energy ... -0.3986 Ry per atom
Energy relative to the elements, uncorrected ... -13.412 eV per formula unit

Cell and atoms, written as CIF:
```
data_Ac6AsIr2I3
_cell_length_a 7.786
_cell_length_b 13.487
_cell_length_c 8.921
_cell_angle_alpha 90.00
_cell_angle_beta 106.79
_cell_angle_gamma 90.00
_space_group_name_H-M_alt 'C 1 2/m 1'
_space_group_IT_number 12
loop_
_space_group_symop_operation_xyz
'x,y,z'
'-x,-y,-z'
'-x,y,-z'
'x,-y,z'
'x+1/2,y+1/2,z'
'-x+1/2,-y+1/2,-z'
'-x+1/2,y+1/2,-z'
'x+1/2,-y+1/2,z'
loop_
_atom_site_label
_atom_site_type_symbol
_atom_site_fract_x
_atom_site_fract_y
_atom_site_fract_z
Ac1 Ac 0.212 0.000 0.187
Ac2 Ac 0.238 0.325 0.187
As1 As 0.000 0.500 0.000
Ir1 Ir 0.000 0.167 0.000
I1 I 0.000 0.000 0.500
I2 I 0.000 0.336 0.500
```



4.
Material: FeMo
Method: DFT, PBE
State: optimized geometry

Summary:
Electronic total energy ... -0.6835 Ry per atom
Calculated formation energy ... 348 meV/atom

Cell and atoms, written as CIF:
```
data_FeMo
_cell_length_a 2.6845
_cell_length_b 2.6845
_cell_length_c 8.5864
_cell_angle_alpha 90.00
_cell_angle_beta 90.00
_cell_angle_gamma 120.00
_space_group_name_H-M_alt 'P -3 m 1'
_space_group_IT_number 164
_space_group_name_Hall '-P 3 2"'
loop_
_atom_site_label
_atom_site_type_symbol
_atom_site_fract_x
_atom_site_fract_y
_atom_site_fract_z
Fe1 Fe 0.3333 0.6667 0.3907
Mo1 Mo 0.3333 0.6667 0.8537
```



5.
Material: Nd2Cd16In
Method: DFT, PBE
State: optimized geometry

Summary:
Electronic total energy ... -0.1153 Ry per atom
Calculated formation energy ... -152 meV/atom

Cell and atoms, written as CIF:
```
data_Nd2Cd16In
_cell_length_a 10.1742
_cell_length_b 10.1742
_cell_length_c 14.8926
_cell_angle_alpha 90.00
_cell_angle_beta 90.00
_cell_angle_gamma 120.00
_space_group_name_H-M_alt 'R 3 m'
_space_group_IT_number 160
_space_group_name_Hall 'R 3 -2"'
loop_
_atom_site_label
_atom_site_type_symbol
_atom_site_fract_x
_atom_site_fract_y
_atom_site_fract_z
Nd1 Nd 0.0000 0.0000 0.0000
Nd2 Nd 0.0000 0.0000 0.3394
Cd1 Cd 0.0000 0.0000 0.5770
Cd2 Cd 0.0015 0.3066 0.6715
Cd3 Cd 0.0065 0.5033 0.5232
Cd4 Cd 0.0256 0.5128 0.1677
Cd5 Cd 0.0393 0.5196 0.8248
In1 In 0.0000 0.0000 0.7745
```



6.
Material: PmPuB4
Method: DFT, PBE
State: optimized geometry

Summary:
Electronic total energy ... -0.5350 Ry per atom
Calculated formation energy ... 354 meV/atom

Cell and atoms, written as CIF:
```
data_PmPuB4
_cell_length_a 6.818
_cell_length_b 6.818
_cell_length_c 6.818
_cell_angle_alpha 90.00
_cell_angle_beta 90.00
_cell_angle_gamma 90.00
_space_group_name_H-M_alt 'F -4 3 m'
_space_group_IT_number 216
_space_group_name_Hall 'F -4 2 3'
loop_
_atom_site_label
_atom_site_type_symbol
_atom_site_fract_x
_atom_site_fract_y
_atom_site_fract_z
Pm1 Pm 0.000 0.000 0.000
Pu1 Pu 0.250 0.250 0.250
B1 B 0.091 0.091 0.591
```